DFT (PBE with a Hubbard U) results for VOF2 after structural relaxation.

Unit cell a=11.9739 b=11.9739 c=5.4145 alpha=102.09 beta=102.09 gamma=25.36
Sites, in units of the cell vectors:
1 V 0.0817 0.0817 0.1182
2 V 0.2479 0.2542 0.2698
3 V 0.4207 0.4096 0.3815
4 V 0.5904 0.5793 0.6185
5 V 0.7458 0.7521 0.7302
6 V 0.9183 0.9183 0.8818
7 O 0.1266 0.7278 0.6544
8 O 0.2722 0.8734 0.3456
9 O 0.4926 0.0295 0.4875
10 O 0.6453 0.1652 0.1709
11 O 0.8348 0.3547 0.8291
12 O 0.9705 0.5074 0.5125
13 F 0.1743 0.6965 0.1642
14 F 0.2190 0.4481 0.3188
15 F 0.2252 0.1071 0.1492
16 F 0.3035 0.8257 0.8358
17 F 0.4710 0.0558 0.9838
18 F 0.5519 0.7810 0.6812
19 F 0.5594 0.4406 0.5000
20 F 0.5938 0.2051 0.6720
21 F 0.7949 0.4062 0.3280
22 F 0.8819 0.1181 0.0000
23 F 0.8929 0.7748 0.8508
24 F 0.9442 0.5290 0.0162

Properties
calculated total energy = -6.49 eV/atom
symmetry = No. 5